No. 1
Computed, not measured: a geometry-optimized HoP2Pd3 structure at the PBE-GGA level of DFT.

a b c (Å): 8.3259 8.3259 9.8823
angles (deg): 107.15 107.15 27.17
With the nearest neighbours (Å) after each atom.
Atoms (fractional coordinates):
Ho1 0.0000 0.0000 0.0000  6 P 3.01-3.13, 6 Pd 3.10
Ho2 0.1482 0.1482 0.6979  6 P 2.99-3.17, 7 Pd 3.04-3.25
Ho3 0.8518 0.8518 0.3021  6 P 2.99-3.17, 7 Pd 3.04-3.25
P1 0.2017 0.2017 0.1349  6 Pd 2.39-2.55
P2 0.3665 0.3665 0.5484  5 Pd 2.29-2.52
P3 0.4616 0.4616 0.2051  3 Pd 2.38-2.47
P4 0.5384 0.5384 0.7949  3 Pd 2.38-2.47
P5 0.6335 0.6335 0.4516  5 Pd 2.29-2.52
P6 0.7983 0.7983 0.8651  6 Pd 2.39-2.55
Pd1 0.0436 0.0436 0.3282  4 P 2.47-2.52
Pd2 0.2301 0.2301 0.3889  2 P 2.29-2.41
Pd3 0.3206 0.3206 0.0380  4 P 2.38-2.55
Pd4 0.3719 0.3719 0.7965  4 P 2.43-2.70
Pd5 0.5000 0.5000 0.5000  2 P 2.35
Pd6 0.6281 0.6281 0.2035  4 P 2.43-2.70
Pd7 0.6794 0.6794 0.9620  4 P 2.38-2.55
Pd8 0.7699 0.7699 0.6111  2 P 2.29-2.41
Pd9 0.9564 0.9564 0.6718  4 P 2.47-2.52

V = 16.560 Å³/atom
ΔH_f (0 K) = -0.8657 eV/atom
spin magnetization = 0.00 μB/cell



No. 2
Computed, not measured: a geometry-optimized HoP2Pd4 structure at the PBE-GGA level of DFT.

a b c (Å): 7.7885 7.7885 3.7345
angles (deg): 90.00 90.00 90.00
With the nearest neighbours (Å) after each atom.
Atoms (fractional coordinates):
Ho1 0.0000 0.0000 0.0000  6 P 3.04-3.10, 8 Pd 3.14
Ho2 0.5000 0.5000 0.5000  6 P 3.04-3.10, 8 Pd 3.14
P1 0.2243 0.2243 0.5000  6 Pd 2.40-2.48
P2 0.2757 0.7243 0.0000  6 Pd 2.40-2.48
P3 0.7243 0.2757 0.0000  6 Pd 2.40-2.48
P4 0.7757 0.7757 0.5000  6 Pd 2.40-2.48
Pd1 0.0696 0.6835 0.5000  3 P 2.40-2.48
Pd2 0.1835 0.4304 0.0000  3 P 2.40-2.48
Pd3 0.3165 0.9304 0.5000  3 P 2.40-2.48
Pd4 0.4304 0.1835 0.0000  3 P 2.40-2.48
Pd5 0.5696 0.8165 0.0000  3 P 2.40-2.48
Pd6 0.6835 0.0696 0.5000  3 P 2.40-2.48
Pd7 0.8165 0.5696 0.0000  3 P 2.40-2.48
Pd8 0.9304 0.3165 0.5000  3 P 2.40-2.48

V = 16.181 Å³/atom
ΔH_f (0 K) = -0.8022 eV/atom
spin magnetization = 0.00 μB/cell
distance to the lowest polymorph of the same formula = 0.007 eV/atom